[1]
Computed, not measured: crystalline Zn4AgP at its relaxed geometry at the PBE level of DFT.

Output
Its total moment is 0.0 μB/f.u. Its energy of formation is 0.2414 eV/atom.

a = 5.1421 Å, b = 5.1421 Å, c = 5.1421 Å
α = 60.00°, β = 60.00°, γ = 60.00°
Last column: nearest neighbours and their distance in Å.
Fractional coordinates of all 6 atoms:
Zn 0.1250 0.1250 0.1250  6 Zn 2.57
Zn 0.1250 0.1250 0.6250  6 Zn 2.57
Zn 0.1250 0.6250 0.1250  6 Zn 2.57
Zn 0.6250 0.1250 0.1250  6 Zn 2.57
Ag 0.5000 0.5000 0.5000  12 Zn 3.01, 4 P 3.15
P 0.7500 0.7500 0.7500  12 Zn 3.01, 4 Ag 3.15

***

[2]
Computed, not measured: crystalline ZnAg2P2 at its relaxed geometry at the PBE level of DFT.

Output
Its total moment is 0.0 μB/f.u. Its energy of formation is 0.0994 eV/atom.

a = 6.1931 Å, b = 6.1931 Å, c = 4.9144 Å
α = 90.00°, β = 90.00°, γ = 90.00°
Last column: nearest neighbours and their distance in Å.
Fractional coordinates of all 10 atoms:
Zn 0.0000 0.0000 0.0000  4 P 2.45
Zn 0.5000 0.5000 0.0000  4 P 2.45
Ag 0.1778 0.3222 0.5000  2 P 2.50
Ag 0.3222 0.8222 0.5000  2 P 2.50
Ag 0.6778 0.1778 0.5000  2 P 2.50
Ag 0.8222 0.6778 0.5000  2 P 2.50
P 0.1250 0.3750 0.0000  1 P 2.19, 2 Zn 2.45
P 0.3750 0.8750 0.0000  1 P 2.19, 2 Zn 2.45
P 0.6250 0.1250 0.0000  1 P 2.19, 2 Zn 2.45
P 0.8750 0.6250 0.0000  1 P 2.19, 2 Zn 2.45

***

[3]
Computed, not measured: crystalline Zn3AgP at its relaxed geometry at the PBE level of DFT.

Output
Its total moment is 0.0 μB/f.u. The energy above the most stable polymorph in this dataset comes out at 0.000 eV/atom. Its energy of formation is 0.4113 eV/atom.

a = 4.7109 Å, b = 4.7109 Å, c = 4.7109 Å
α = 90.00°, β = 90.00°, γ = 90.00°
Last column: nearest neighbours and their distance in Å.
Fractional coordinates of all 5 atoms:
Zn 0.0000 0.0000 0.5000  2 P 2.36
Zn 0.0000 0.5000 0.0000  2 P 2.36
Zn 0.5000 0.0000 0.0000  2 P 2.36
Ag 0.5000 0.5000 0.5000  12 Zn 3.33
P 0.0000 0.0000 0.0000  6 Zn 2.36

***

[4]
Computed, not measured: crystalline ZrZn2AgP at its relaxed geometry at the PBE level of DFT.

Output
Its total moment is 0.4 μB/f.u. Its energy of formation is 1.3973 eV/atom.

a = 5.1472 Å, b = 5.1472 Å, c = 5.2575 Å
α = 90.00°, β = 90.00°, γ = 90.00°
Last column: nearest neighbours and their distance in Å.
Fractional coordinates of all 5 atoms:
Zr 0.0000 0.0000 0.0000  4 Zn 2.57, 2 Ag 2.63
Zn 0.0000 0.5000 0.0000  2 Zr 2.57
Zn 0.5000 0.0000 0.0000  2 Zr 2.57
Ag 0.0000 0.0000 0.5000  2 Zr 2.63
P 0.5000 0.5000 0.5000  4 Ag 3.64, 8 Zn 3.68